Material: LiTeIr2
Method: DFT, SCAN
State: single point on PBEsol structure

The crystal system is orthorhombic. The raw formation energy comes out at 0.08 eV per atom. The space group is Pmm2.

extended XYZ file:
```
4
Lattice="2.933 0.000 0.000 0.000 3.991 0.000 0.000 0.000 5.249" Properties=species:S:1:pos:R:3 pbc="T T T"
Li 0.000 0.000 0.000
Te 1.466 1.996 1.503
Ir 0.000 0.000 2.754
Ir 1.466 1.996 4.127
```


Material: Li3TeIr
Method: DFT, SCAN
State: single point on PBEsol structure

The crystal system is cubic. The raw formation energy comes out at 0.27 eV per atom. The space group is Pm-3m.

extended XYZ file:
```
5
Lattice="4.597 0.000 0.000 0.000 4.597 0.000 0.000 0.000 4.597" Properties=species:S:1:pos:R:3 pbc="T T T"
Li 0.000 0.000 2.299
Li 0.000 2.299 0.000
Li 2.299 0.000 0.000
Te 2.299 2.299 2.299
Ir 0.000 0.000 0.000
```


Number 1: final energy -45.383 eV per atom, DOS(E_F) 2.35 states/eV/f.u., total moment 0.00 μB/cell. Number 2: final energy -22.832 eV per atom, DOS(E_F) 4.17 states/eV/f.u., total moment 0.00 μB/cell.